First-principles (PBE) data for a relaxed Pr2AlAu7 crystal, as listed in Alexandria.

## Properties
- space-group type = P-4m2 (115)

Cell lengths 4.060, 4.060, 13.304 Å; angles 90.00, 90.00, 90.00 degrees
Atoms (fractional coordinates):
1 Pr 0.000 0.500 0.247
2 Pr 0.500 0.000 0.753
3 Al 0.500 0.500 0.000
4 Au 0.000 0.000 0.000
5 Au 0.000 0.000 0.500
6 Au 0.000 0.500 0.651
7 Au 0.000 0.500 0.857
8 Au 0.500 0.000 0.143
9 Au 0.500 0.000 0.349
10 Au 0.500 0.500 0.500

First-principles (PBE) data for a relaxed Pr2AlAu6 crystal, as listed in Alexandria.

## Properties
- space-group type = P-3m1 (164)

Cell lengths 6.391, 6.391, 5.522 Å; angles 90.00, 90.00, 120.00 degrees
Atoms (fractional coordinates):
1 Pr 0.333 0.667 0.176
2 Pr 0.667 0.333 0.824
3 Al 0.000 0.000 0.000
4 Au 0.179 0.359 0.695
5 Au 0.179 0.821 0.695
6 Au 0.359 0.179 0.305
7 Au 0.641 0.821 0.695
8 Au 0.821 0.179 0.305
9 Au 0.821 0.641 0.305

First-principles (PBE) data for a relaxed Pr3Al8Au3 crystal, as listed in Alexandria.

## Properties
- space-group type = C2/m (12)
- energy above the lowest structure with this stoichiometry (meV per atom) = 0.0

Cell lengths 8.442, 8.442, 9.803 Å; angles 125.16, 125.16, 30.82 degrees
Atoms (fractional coordinates):
1 Pr 0.000 0.000 0.000
2 Pr 0.302 0.302 0.304
3 Pr 0.698 0.698 0.696
4 Al 0.136 0.136 0.857
5 Al 0.143 0.143 0.422
6 Al 0.339 0.339 0.966
7 Al 0.498 0.498 0.300
8 Al 0.502 0.502 0.700
9 Al 0.661 0.661 0.034
10 Al 0.857 0.857 0.578
11 Al 0.864 0.864 0.143
12 Au 0.000 0.000 0.500
13 Au 0.344 0.344 0.702
14 Au 0.656 0.656 0.298

First-principles (PBE) data for a relaxed Pr2Al3Au9 crystal, as listed in Alexandria.

## Properties
- space-group type = C2/c (15)

Cell lengths 8.022, 8.022, 11.040 Å; angles 111.82, 111.82, 59.40 degrees
Atoms (fractional coordinates):
1 Pr 0.085 0.252 0.247
2 Pr 0.252 0.085 0.747
3 Pr 0.748 0.915 0.253
4 Pr 0.915 0.748 0.753
5 Al 0.000 0.500 0.000
6 Al 0.153 0.676 0.503
7 Al 0.324 0.847 0.997
8 Al 0.500 0.000 0.500
9 Al 0.676 0.153 0.003
10 Al 0.847 0.324 0.497
11 Au 0.023 0.856 0.072
12 Au 0.144 0.977 0.428
13 Au 0.192 0.354 0.564
14 Au 0.199 0.581 0.257
15 Au 0.309 0.482 0.938
16 Au 0.354 0.192 0.064
17 Au 0.357 0.643 0.750
18 Au 0.419 0.801 0.243
19 Au 0.482 0.309 0.438
20 Au 0.518 0.691 0.562
21 Au 0.581 0.199 0.757
22 Au 0.643 0.357 0.250
23 Au 0.646 0.808 0.936
24 Au 0.691 0.518 0.062
25 Au 0.801 0.419 0.743
26 Au 0.808 0.646 0.436
27 Au 0.856 0.023 0.572
28 Au 0.977 0.144 0.928

First-principles (PBE) data for a relaxed Pr3Al4Au4 crystal, as listed in Alexandria.

## Properties
- space-group type = Immm (71)
- energy above the lowest structure with this stoichiometry (meV per atom) = 40.3

Cell lengths 13.397, 13.397, 13.397 Å; angles 161.60, 160.64, 26.84 degrees
Atoms (fractional coordinates):
1 Pr 0.000 0.000 0.000
2 Pr 0.350 0.850 0.500
3 Pr 0.650 0.150 0.500
4 Al 0.196 0.696 0.500
5 Al 0.450 0.450 0.000
6 Al 0.550 0.550 0.000
7 Al 0.804 0.304 0.500
8 Au 0.098 0.598 0.500
9 Au 0.251 0.251 0.000
10 Au 0.749 0.749 0.000
11 Au 0.902 0.402 0.500

First-principles (PBE) data for a relaxed Pr2AlAu3 crystal, as listed in Alexandria.

## Properties
- space-group type = Imm2 (44)
- energy above the lowest structure with this stoichiometry (meV per atom) = 62.5

Cell lengths 8.975, 8.975, 8.975 Å; angles 153.51, 152.57, 38.50 degrees
Atoms (fractional coordinates):
1 Pr 0.000 0.000 0.000
2 Pr 0.754 0.254 0.500
3 Al 0.589 0.589 0.000
4 Au 0.165 0.665 0.500
5 Au 0.329 0.829 0.500
6 Au 0.437 0.437 0.000

First-principles (PBE) data for a relaxed PrAl2Au crystal, as listed in Alexandria.

## Properties
- space-group type = R-3m (166)

Cell lengths 5.987, 5.987, 5.987 Å; angles 42.58, 42.58, 42.58 degrees
Atoms (fractional coordinates):
1 Pr 0.000 0.000 0.000
2 Al 0.211 0.211 0.211
3 Al 0.789 0.789 0.789
4 Au 0.500 0.500 0.500

First-principles (PBE) data for a relaxed Pr3AlAu3 crystal, as listed in Alexandria.

## Properties
- space-group type = C2/m (12)

Cell lengths 6.000, 6.000, 15.542 Å; angles 108.61, 108.61, 42.83 degrees
Atoms (fractional coordinates):
1 Pr 0.023 0.023 0.386
2 Pr 0.099 0.099 0.919
3 Pr 0.248 0.248 0.233
4 Pr 0.752 0.752 0.767
5 Pr 0.901 0.901 0.081
6 Pr 0.977 0.977 0.614
7 Al 0.262 0.262 0.599
8 Al 0.738 0.738 0.401
9 Au 0.359 0.359 0.455
10 Au 0.377 0.377 0.922
11 Au 0.466 0.466 0.762
12 Au 0.534 0.534 0.238
13 Au 0.623 0.623 0.078
14 Au 0.641 0.641 0.545

First-principles (PBE) data for a relaxed PrAl2Au8 crystal, as listed in Alexandria.

## Properties
- space-group type = P4/mmm (123)

Cell lengths 5.680, 5.680, 8.053 Å; angles 90.00, 90.00, 90.00 degrees
Atoms (fractional coordinates):
1 Pr 0.000 0.000 0.000
2 Al 0.000 0.500 0.500
3 Al 0.500 0.000 0.500
4 Au 0.255 0.255 0.289
5 Au 0.255 0.255 0.711
6 Au 0.255 0.745 0.289
7 Au 0.255 0.745 0.711
8 Au 0.745 0.255 0.289
9 Au 0.745 0.255 0.711
10 Au 0.745 0.745 0.289
11 Au 0.745 0.745 0.711

First-principles (PBE) data for a relaxed PrAlAu crystal, as listed in Alexandria.

## Properties
- space-group type = Pmmn (59)

Cell lengths 4.636, 15.248, 7.819 Å; angles 90.00, 90.00, 90.00 degrees
Atoms (fractional coordinates):
1 Pr 0.250 0.004 0.202
2 Pr 0.250 0.250 0.295
3 Pr 0.250 0.496 0.202
4 Pr 0.250 0.750 0.294
5 Pr 0.750 0.250 0.706
6 Pr 0.750 0.504 0.798
7 Pr 0.750 0.750 0.705
8 Pr 0.750 0.996 0.798
9 Al 0.250 0.094 0.584
10 Al 0.250 0.406 0.584
11 Al 0.250 0.658 0.914
12 Al 0.250 0.842 0.914
13 Al 0.750 0.158 0.086
14 Al 0.750 0.342 0.086
15 Al 0.750 0.594 0.416
16 Al 0.750 0.906 0.416
17 Au 0.250 0.142 0.913
18 Au 0.250 0.358 0.913
19 Au 0.250 0.598 0.584
20 Au 0.250 0.902 0.584
21 Au 0.750 0.098 0.416
22 Au 0.750 0.402 0.416
23 Au 0.750 0.642 0.087
24 Au 0.750 0.858 0.087

First-principles (PBE) data for a relaxed Pr3Al7Au4 crystal, as listed in Alexandria.

## Properties
- space-group type = C2/m (12)

Cell lengths 8.483, 8.483, 9.874 Å; angles 125.06, 125.06, 30.22 degrees
Atoms (fractional coordinates):
1 Pr 0.000 0.000 0.000
2 Pr 0.313 0.313 0.317
3 Pr 0.687 0.687 0.683
4 Al 0.000 0.000 0.500
5 Al 0.151 0.151 0.422
6 Al 0.325 0.325 0.966
7 Al 0.500 0.500 0.288
8 Al 0.500 0.500 0.712
9 Al 0.675 0.675 0.034
10 Al 0.849 0.849 0.578
11 Au 0.129 0.129 0.855
12 Au 0.345 0.345 0.718
13 Au 0.655 0.655 0.282
14 Au 0.871 0.871 0.145

| no. | magnetic moment (μB/f.u.) | calculated formation energy (eV/atom) |
| --- | --- | --- |
| 1 | 0.00 | -0.526 |
| 2 | 0.00 | -0.656 |
| 3 | 0.00 | -0.569 |
| 4 | 0.00 | -0.603 |
| 5 | 0.00 | -0.681 |
| 6 | 0.00 | -0.695 |
| 7 | 0.00 | -0.581 |
| 8 | 0.00 | -0.721 |
| 9 | 0.00 | -0.209 |
| 10 | 0.00 | -0.733 |
| 11 | 0.00 | -0.664 |